Entry 1:
This record from OQMD via LeMat-Bulk describes CoNiTe3Pb after structural relaxation. The functional is PBE-GGA.

a b c (Å): 3.796 13.762 10.876
angles (deg): 90.00 90.00 90.00
Space group Cmcm (No. 63)
Inequivalent atoms, fractional coordinates:
Co1 0.000 0.119 0.250 [4 per cell]
Ni1 0.000 0.500 0.000 [4 per cell]
Te1 0.000 0.124 0.020 [8 per cell]
Te2 0.000 0.499 0.250 [4 per cell]
Pb1 0.000 0.238 0.750 [4 per cell]

Summary:
spin magnetization	0.0	μB per formula unit
calculated volume	142.04	Å³/f.u.
ΔE to the lowest computed polymorph	0.0079	eV per atom

***

Entry 2:
This record from OQMD via LeMat-Bulk describes PrTeAs after structural relaxation. The functional is PBE-GGA.

a b c (Å): 4.9699 4.9699 7.7148
angles (deg): 90.00 90.00 120.00
Space group P6_3mc (No. 186)
Inequivalent atoms, fractional coordinates:
Pr1 0.0000 0.0000 0.0000 [2 per cell]
Te1 0.3333 0.6667 0.2497 [2 per cell]
As1 0.3333 0.6667 0.7511 [2 per cell]

Summary:
spin magnetization	0.0	μB per formula unit
calculated volume	82.51	Å³/f.u.
total DFT energy (no corrections)	-4.821	eV per atom

***

Entry 3:
This record from OQMD via LeMat-Bulk describes Tm3Mg3TlGa2 after structural relaxation. The functional is PBE-GGA.

a b c (Å): 7.2611 7.2611 4.5044
angles (deg): 90.00 90.00 120.00
Space group P-62m (No. 189)
Inequivalent atoms, fractional coordinates:
Tm1 0.0000 0.5631 0.0000 [3 per cell]
Mg1 0.0000 0.2511 0.5000 [3 per cell]
Tl1 0.0000 0.0000 0.0000 [1 per cell]
Ga1 0.3333 0.6667 0.5000 [2 per cell]

Summary:
spin magnetization	0.0	μB per formula unit
calculated volume	205.67	Å³/f.u.
total DFT energy (no corrections)	-3.354	eV per atom

***

Entry 4:
This record from OQMD via LeMat-Bulk describes Rb2HfOsSe6 after structural relaxation. The functional is PBE-GGA.

a b c (Å): 6.8841 6.8841 14.8298
angles (deg): 90.00 90.00 120.00
Space group P-31c (No. 163)
Inequivalent atoms, fractional coordinates:
Rb1 0.3333 0.6667 0.0727 [4 per cell]
Hf1 0.3333 0.6667 0.7500 [2 per cell]
Os1 0.0000 0.0000 0.2500 [2 per cell]
Se1 0.1432 0.3170 0.8611 [12 per cell]

Summary:
spin magnetization	0.9	μB per formula unit
calculated volume	304.32	Å³/f.u.
total DFT energy (no corrections)	-5.080	eV per atom

***

Entry 5:
This record from OQMD via LeMat-Bulk describes Rb2Fe after structural relaxation. The functional is PBE-GGA.

a b c (Å): 15.403 15.403 15.403
angles (deg): 90.00 90.00 90.00
Space group Fd-3m (No. 227, origin choice 2)
Inequivalent atoms, fractional coordinates:
Rb1 0.000 0.000 0.000 [16 per cell]
Fe1 0.125 0.125 0.125 [8 per cell]

Summary:
spin magnetization	4.0	μB per formula unit
calculated volume	456.78	Å³/f.u.
ΔE to the lowest computed polymorph	0.0000	eV per atom

***

Entry 6:
This record from OQMD via LeMat-Bulk describes Cu2Br after structural relaxation. The functional is PBE-GGA.

a b c (Å): 7.317 7.317 7.317
angles (deg): 90.00 90.00 90.00
Space group Fd-3m (No. 227, origin choice 2)
Inequivalent atoms, fractional coordinates:
Cu1 0.000 0.000 0.000 [16 per cell]
Br1 0.125 0.125 0.625 [8 per cell]

Summary:
calculated volume	48.97	Å³/f.u.
ΔE to the lowest computed polymorph	0.0000	eV per atom

***

Entry 7:
This record from OQMD via LeMat-Bulk describes Dy2Y2Re after structural relaxation. The functional is PBE-GGA.

a b c (Å): 3.964 3.964 9.105
angles (deg): 90.00 90.00 90.00
Space group P4/mmm (No. 123)
Inequivalent atoms, fractional coordinates:
Dy1 0.000 0.000 0.163 [2 per cell]
Y1 0.000 0.500 0.500 [2 per cell]
Re1 0.500 0.500 0.000 [1 per cell]

Summary:
spin magnetization	0.1	μB per formula unit
calculated volume	143.10	Å³/f.u.
total DFT energy (no corrections)	-6.004	eV per atom